Record 1
Density functional theory data (PBE) for a relaxed structure of Li2HfGe4.

Values from the calculation:
calculated formation energy	230	meV/atom
crystal system	tetragonal
mass density	4.5	g/cm3
Fermi-level density of states	4.034	states/eV per cell
magnetic moment	0.0	μB per formula unit

The structure in extended XYZ format:
```
7
Lattice="-2.1130 3.7057 -2.8296 -2.2555 -3.5313 -2.9405 -7.5573 0.1306 1.1843" Properties=species:S:1:pos:R:3 pbc="T T T"
Ge -6.4404 0.1911 -4.2008
Ge -5.4853 0.1139 -0.3849
Ge -1.1277 -1.7657 -1.4702
Ge -1.0565 1.8529 -1.4148
Hf 0.0000 0.0000 0.0000
Li -8.5486 0.2082 -2.6042
Li -3.3772 0.0968 -1.9816
```


Record 2
Density functional theory data (PBE) for a relaxed structure of CoTc2Au.

Values from the calculation:
calculated formation energy	461	meV/atom
crystal system	cubic
mass density	12.7	g/cm3
Fermi-level density of states	5.132	states/eV per cell
energy above the most stable polymorph in this dataset	0.255	eV per atom
magnetic moment	1.6	μB per formula unit

The structure in extended XYZ format:
```
4
Lattice="-1.1725 -0.8125 4.1266 3.0198 -1.1230 2.9468 1.0994 2.7918 3.1720" Properties=species:S:1:pos:R:3 pbc="T T T"
Au 1.4733 0.4281 5.1227
Co 0.7367 0.2141 2.5613
Tc 0.0000 0.0000 0.0000
Tc 2.2100 0.6422 7.6840
```


Record 3
Density functional theory data (PBE) for a relaxed structure of CuAg2HgH.

Values from the calculation:
VASP energy	-12.35	eV/cell
crystal system	tetragonal
mass density	10.9	g/cm3
Fermi-level density of states	1.130	states/eV per cell
magnetic moment	0.0	μB per formula unit

The structure in extended XYZ format:
```
5
Lattice="-1.6677 3.5551 -2.1171 -4.1375 -1.4581 0.8107 -0.0379 1.8689 3.1682" Properties=species:S:1:pos:R:3 pbc="T T T"
H 0.0000 0.0000 0.0000
Cu -0.0189 0.9344 1.5841
Hg -2.9215 1.9829 0.9309
Ag -2.0687 -0.7291 0.4053
Ag -0.8339 1.7776 -1.0585
```


Record 4
Density functional theory data (PBE) for a relaxed structure of ScAl10Fe2.

Values from the calculation:
calculated formation energy	-332	meV/atom
crystal system	orthorhombic
mass density	3.6	g/cm3
Fermi-level density of states	10.548	states/eV per cell
magnetic moment	0.0	μB per formula unit

The structure in extended XYZ format:
```
26
Lattice="-3.3470 3.6844 4.4942 -4.6785 -4.7345 -0.8189 3.6316 -4.7268 6.5797" Properties=species:S:1:pos:R:3 pbc="T T T"
Sc -0.7981 -0.9659 8.7314
Sc -3.5958 -4.8110 1.5235
Al 0.6744 -2.6500 6.7089
Al -5.0683 -3.1269 3.5460
Al -2.8767 -3.1146 8.3351
Al -1.5172 -2.6623 1.9198
Al -2.6895 -5.3211 6.6466
Al -1.7044 -0.4558 3.6083
Al -0.2335 -4.9997 5.5219
Al -4.1604 -0.7771 4.7330
Al -2.0810 0.4963 6.3476
Al -1.1927 -7.7310 5.9367
Al -3.2012 1.9542 4.3182
Al -2.3128 -6.2731 3.9073
Al -0.3786 -3.9607 8.7917
Al -2.5340 -3.7441 4.1470
Al -1.8599 -2.0327 6.1079
Al -4.0153 -1.8161 1.4633
Al -6.2000 -0.8112 2.8393
Al -0.0097 -2.6022 4.1258
Al -1.8255 -0.2389 0.8360
Al -4.3842 -3.1746 6.1291
Fe -1.6735 1.8422 2.2471
Fe 0.1423 -0.5212 5.5369
Fe -0.5235 -4.7306 2.8804
Fe -2.3393 -2.3673 -0.4095
```


Record 5
Density functional theory data (PBE) for a relaxed structure of TiBeB.

Values from the calculation:
calculated formation energy	-616	meV/atom
crystal system	orthorhombic
mass density	3.8	g/cm3
Fermi-level density of states	1.719	states/eV per cell
energy above the most stable polymorph in this dataset	0.000	eV per atom
magnetic moment	0.0	μB per formula unit

The structure in extended XYZ format:
```
6
Lattice="-3.3676 -0.4195 -0.0601 0.1578 -0.8568 -2.8636 2.2673 -4.9052 3.1569" Properties=species:S:1:pos:R:3 pbc="T T T"
Ti -0.2886 -4.4986 -0.2342
Ti -0.6539 -1.6829 0.4675
Be 1.4424 -4.9200 1.5516
Be -2.3849 -1.2615 -1.3183
B 1.2233 -3.0873 0.9912
B -2.1658 -3.0941 -0.7579
```


Record 6
Density functional theory data (PBE) for a relaxed structure of SrSc2Hg.

Values from the calculation:
calculated formation energy	188	meV/atom
crystal system	trigonal
mass density	5.3	g/cm3
Fermi-level density of states	4.356	states/eV per cell
energy above the most stable polymorph in this dataset	0.303	eV per atom
magnetic moment	0.7	μB per formula unit

The structure in extended XYZ format:
```
4
Lattice="-1.6500 -11.1328 0.1461 1.3587 -11.0470 -1.6736 1.4286 -11.0112 1.8427" Properties=species:S:1:pos:R:3 pbc="T T T"
Sc 1.0226 -29.8441 0.2834
Sc 0.1147 -3.3468 0.0318
Sr 0.0000 0.0000 0.0000
Hg 0.5686 -16.5954 0.1576
```


Record 7
Density functional theory data (PBE) for a relaxed structure of YHo4Tm6.

Values from the calculation:
calculated formation energy	466	meV/atom
crystal system	tetragonal
mass density	7.9	g/cm3
Fermi-level density of states	16.435	states/eV per cell
energy above the most stable polymorph in this dataset	0.339	eV per atom
magnetic moment	0.0	μB per formula unit

The structure in extended XYZ format:
```
11
Lattice="7.5844 0.0000 0.0000 0.0000 7.5844 0.0000 -3.7922 -3.7922 6.4363" Properties=species:S:1:pos:R:3 pbc="T T T"
Y 3.7922 3.7922 0.0000
Ho -2.5208 2.5208 5.4568
Ho 6.3130 6.3130 0.9794
Ho 2.5208 -2.5208 5.4568
Ho 1.2713 1.2713 0.9794
Tm 5.6667 1.9176 2.3646
Tm 1.9176 5.6667 2.3646
Tm 1.8746 1.8746 4.0716
Tm 0.0000 3.7922 0.0000
Tm -1.8746 -1.8746 4.0716
Tm 3.7922 0.0000 0.0000
```


Record 8
Density functional theory data (PBE) for a relaxed structure of Tb2Pm7Th.

Values from the calculation:
calculated formation energy	164	meV/atom
crystal system	monoclinic
mass density	7.7	g/cm3
Fermi-level density of states	17.421	states/eV per cell
magnetic moment	0.0	μB per formula unit

The structure in extended XYZ format:
```
10
Lattice="-2.0709 -2.5725 1.0319 7.2419 -7.9213 -5.2147 2.2611 1.5652 8.4400" Properties=species:S:1:pos:R:3 pbc="T T T"
Tb 6.1337 -7.9489 -1.7070
Tb 1.2985 -0.9796 5.9643
Pm 4.9427 -4.5208 -1.3513
Pm 4.5603 -1.8352 4.5767
Pm 1.2237 -2.2097 2.7477
Pm 6.2084 -6.7189 1.5095
Pm 1.3888 -3.5862 -0.3528
Pm 6.0433 -5.3423 4.6101
Pm 3.7161 -4.4643 2.1286
Th 0.0000 0.0000 0.0000
```


Record 9
Density functional theory data (PBE) for a relaxed structure of KBe2TeW.

Values from the calculation:
energy relative to the elements, uncorrected	959	kJ/mol of formula units
crystal system	tetragonal
mass density	4.2	g/cm3
Fermi-level density of states	4.356	states/eV per cell
magnetic moment	4.5	μB per formula unit

The structure in extended XYZ format:
```
5
Lattice="-3.8122 -2.8558 1.0970 3.0439 -4.8500 -2.0479 1.8366 -0.7347 4.4698" Properties=species:S:1:pos:R:3 pbc="T T T"
Be 0.9183 -0.3673 2.2349
Be -1.9061 -1.4279 0.5485
K 1.5220 -2.4250 -1.0239
Te 0.0000 0.0000 0.0000
W 0.5342 -4.2202 1.7595
```


Record 10
Density functional theory data (PBE) for a relaxed structure of Pm2PrTa.

Values from the calculation:
calculated formation energy	676	meV/atom
crystal system	trigonal
mass density	8.7	g/cm3
Fermi-level density of states	6.755	states/eV per cell
magnetic moment	0.0	μB per formula unit

The structure in extended XYZ format:
```
4
Lattice="-1.7647 0.7380 -2.7210 -2.9584 -1.4345 -0.5033 -7.0145 8.8822 4.9254" Properties=species:S:1:pos:R:3 pbc="T T T"
Pr -5.8688 4.0929 0.8506
Pm -5.7082 6.6937 3.4847
Pm -6.0294 1.4920 -1.7835
Ta 0.0000 0.0000 0.0000
```


Record 11
Density functional theory data (PBE) for a relaxed structure of Ba3Nb2AgO9.

Values from the calculation:
energy relative to the elements, uncorrected	-3510	kJ/mol of formula units
crystal system	trigonal
mass density	6.2	g/cm3
Fermi-level density of states	5.781	states/eV per cell
magnetic moment	0.9	μB per formula unit

The structure in extended XYZ format:
```
15
Lattice="5.9586 0.0000 0.0000 -2.9793 5.1603 0.0000 0.0000 0.0000 7.3768" Properties=species:S:1:pos:R:3 pbc="T T T"
Ba 0.0000 3.4402 4.9053
Ba 0.0000 0.0000 0.0000
Ba 2.9793 1.7201 2.4714
Nb 0.0000 3.4402 1.2506
Nb 2.9793 1.7201 6.1261
Ag 0.0000 0.0000 3.6884
O 4.3845 0.9088 5.0641
O 2.9793 3.3427 5.0641
O 1.5740 0.9088 5.0641
O 1.4053 4.2515 2.3127
O 0.0000 1.8175 2.3127
O -1.4053 4.2515 2.3127
O 2.9793 0.0000 0.0000
O -1.4896 2.5801 0.0000
O 1.4896 2.5801 0.0000
```